(1)
# GGA-PBE Tl3Si5Te12, optimized geometry
data_Tl3Si5Te12
_chemical_formula_sum 'Tl24 Si40 Te96'
_cell_length_a 17.327
_cell_length_b 17.327
_cell_length_c 17.327
_cell_angle_alpha 90.00
_cell_angle_beta 90.00
_cell_angle_gamma 90.00
_space_group_name_H-M_alt 'I a -3 d'
_space_group_IT_number 230
_space_group_name_Hall '-I 4bd 2c 3'
loop_
_atom_site_label
_atom_site_type_symbol
_atom_site_fract_x
_atom_site_fract_y
_atom_site_fract_z
Tl1 Tl 0.000 0.250 0.125
Si1 Si 0.000 0.000 0.000
Si2 Si 0.000 0.250 0.375
Te1 Te 0.037 0.058 0.645
# * energy relative to the elements, uncorrected: 0.077 eV per atom
# * uncorrected energy: -3.52 eV/atom

---

(2)
# GGA-PBE TlSiTe2, optimized geometry
data_TlSiTe2
_chemical_formula_sum 'Tl2 Si2 Te4'
_cell_length_a 6.938
_cell_length_b 4.039
_cell_length_c 8.681
_cell_angle_alpha 90.00
_cell_angle_beta 106.03
_cell_angle_gamma 90.00
_space_group_name_H-M_alt 'C 1 2/m 1'
_space_group_IT_number 12
_space_group_name_Hall '-C 2y'
loop_
_atom_site_label
_atom_site_type_symbol
_atom_site_fract_x
_atom_site_fract_y
_atom_site_fract_z
Tl1 Tl 0.000 0.000 0.000
Si1 Si 0.000 0.500 0.500
Te1 Te 0.231 0.000 0.689
# * energy relative to the elements, uncorrected: -0.038 eV per atom
# * uncorrected energy: -3.56 eV/atom